Material: Ta2CrNO5
Method: DFT, GGA+U
State: optimized geometry

abc: 6.731 6.736 9.242
angles: 90.00 90.48 90.00
Space group Cm (No. 8)
Asymmetric unit:
1 Ta 0.000 0.000 0.000 [2 per cell]
2 Ta 0.005 0.000 0.670 [2 per cell]
3 Ta 0.009 0.500 0.493 [2 per cell]
4 Ta 0.026 0.500 0.156 [2 per cell]
5 Cr 0.016 0.500 0.824 [2 per cell]
6 Cr 0.018 0.000 0.326 [2 per cell]
7 N 0.317 0.500 0.160 [2 per cell]
8 N 0.318 0.500 0.824 [2 per cell]
9 O 0.011 0.304 0.994 [4 per cell]
10 O 0.016 0.307 0.327 [4 per cell]
11 O 0.018 0.304 0.653 [4 per cell]
12 O 0.212 0.000 0.821 [2 per cell]
13 O 0.213 0.000 0.157 [2 per cell]
14 O 0.218 0.000 0.493 [2 per cell]
15 O 0.321 0.500 0.494 [2 per cell]

As for the magnetic moment: 11.98 μB/cell. The value obtained for the total energy is -9.403 eV per atom. The value obtained for the excess energy over the best structure of this formula in the dataset is 9 meV per atom.